# HoCu4As2

A geometry-optimized HoCu4As2 structure (PBE-GGA, the Alexandria database).

Unit cell a=7.4301 b=7.4301 c=3.9386 alpha=90.00 beta=90.00 gamma=90.00
Last column: nearest neighbours and their distance in Å.
Space group P4_2/mnm (No. 136)
Asymmetric unit:
Ho 0.0000 0.0000 0.0000 (multiplicity 2)  6 As 2.97-3.03, 12 Cu 3.28-3.29
Cu 0.0876 0.3443 0.5000 (multiplicity 8)  3 As 2.43-2.51, 6 Cu 2.66-2.72
As 0.2115 0.7885 0.5000 (multiplicity 4)  6 Cu 2.43-2.51

* electronic total energy: -4.7478 eV/atom
* total magnetization: 0.000 μB per formula unit

---

# HoCuAs2

A geometry-optimized HoCuAs2 structure (PBE-GGA, the Alexandria database).

Unit cell a=4.0632 b=4.0632 c=16.9447 alpha=90.00 beta=90.00 gamma=120.00
Last column: nearest neighbours and their distance in Å.
Space group R-3m (No. 166, hexagonal axes)
Asymmetric unit:
Ho 0.0000 0.0000 0.0000 (multiplicity 3)  6 As 2.86
Cu 0.0000 0.0000 0.5000 (multiplicity 3)  6 As 2.63
As 0.0000 0.0000 0.2367 (multiplicity 6)  3 Cu 2.63, 3 Ho 2.86

* electronic total energy: -4.9303 eV/atom
* total magnetization: 0.000 μB per formula unit

---

# HoCuAs2

A geometry-optimized HoCuAs2 structure (PBE-GGA, the Alexandria database).

Unit cell a=3.9085 b=3.9085 c=9.8028 alpha=90.00 beta=90.00 gamma=90.00
Last column: nearest neighbours and their distance in Å.
Space group P4/nmm (No. 129, origin choice 2)
Asymmetric unit:
Ho 0.2500 0.2500 0.2362 (multiplicity 2)  8 As 2.94-3.03, 4 Cu 3.24
Cu 0.2500 0.7500 0.5000 (multiplicity 2)  4 As 2.52, 4 Cu 2.76
As 0.2500 0.2500 0.6617 (multiplicity 2)  4 Cu 2.52
As 0.2500 0.7500 0.0000 (multiplicity 2)  4 As 2.76, 4 Ho 3.03

* electronic total energy: -5.3074 eV/atom
* total magnetization: 0.000 μB per formula unit

---

Among the records above, which one has the lowest electronic total energy?
number 3

---

Among the records above, which one has the highest electronic total energy?
HoCu4As2